No. 1
## YMn2NbH (meta-GGA SCAN)

Data for YMn2NbH at its PBEsol-relaxed geometry.

CIF file:
```
data_YMn2NbH
_cell_length_a 4.7747
_cell_length_b 4.7747
_cell_length_c 3.6474
_cell_angle_alpha 90.00
_cell_angle_beta 90.00
_cell_angle_gamma 90.00
_symmetry_space_group_name_H-M 'P 4/m m m'
_symmetry_Int_Tables_number 123
_symmetry_space_group_name_Hall '-P 4 2'
loop_
_atom_site_label
_atom_site_type_symbol
_atom_site_fract_x
_atom_site_fract_y
_atom_site_fract_z
Y1 Y 0.0000 0.0000 0.0000
Mn1 Mn 0.0000 0.5000 0.5000
Nb1 Nb 0.5000 0.5000 0.5000
H1 H 0.5000 0.5000 0.0000
```

## Properties
Density of states at the Fermi level = 0.649 states/eV per atom
E_tot = -98.90 eV per cell

No. 2
## Sr2SCl (meta-GGA SCAN)

Data for Sr2SCl at its PBEsol-relaxed geometry.

CIF file:
```
data_Sr2SCl
_cell_length_a 6.6619
_cell_length_b 6.6619
_cell_length_c 13.3129
_cell_angle_alpha 90.00
_cell_angle_beta 90.00
_cell_angle_gamma 90.00
_symmetry_space_group_name_H-M 'I -4 2 d'
_symmetry_Int_Tables_number 122
_symmetry_space_group_name_Hall 'I -4 2bw'
loop_
_atom_site_label
_atom_site_type_symbol
_atom_site_fract_x
_atom_site_fract_y
_atom_site_fract_z
Sr1 Sr 0.2329 0.2500 0.1250
S1 S 0.0000 0.0000 0.0000
Cl1 Cl 0.0000 0.0000 0.5000
```

## Properties
Density of states at the Fermi level = 0.599 states/eV per atom
E_tot = -279.05 eV per cell
Energy relative to the elements, uncorrected = -1.901 eV per atom

No. 3
## LaMgFe (meta-GGA SCAN)

Data for LaMgFe at its PBEsol-relaxed geometry.

CIF file:
```
data_LaMgFe
_cell_length_a 6.7639
_cell_length_b 6.7639
_cell_length_c 6.7639
_cell_angle_alpha 90.00
_cell_angle_beta 90.00
_cell_angle_gamma 90.00
_symmetry_space_group_name_H-M 'F -4 3 m'
_symmetry_Int_Tables_number 216
_symmetry_space_group_name_Hall 'F -4 2 3'
loop_
_atom_site_label
_atom_site_type_symbol
_atom_site_fract_x
_atom_site_fract_y
_atom_site_fract_z
La1 La 0.0000 0.0000 0.0000
Mg1 Mg 0.2500 0.2500 0.2500
Fe1 Fe 0.0000 0.0000 0.5000
```

## Properties
Density of states at the Fermi level = 1.222 states/eV per atom
Energy of formation = 0.700 eV per atom
E_tot = -256.43 eV per cell

No. 4
## ZrAlTeI2 (meta-GGA SCAN)

Data for ZrAlTeI2 at its PBEsol-relaxed geometry.

CIF file:
```
data_ZrAlTeI2
_cell_length_a 5.6305
_cell_length_b 5.6305
_cell_length_c 5.5886
_cell_angle_alpha 90.00
_cell_angle_beta 90.00
_cell_angle_gamma 90.00
_symmetry_space_group_name_H-M 'P 4/m m m'
_symmetry_Int_Tables_number 123
_symmetry_space_group_name_Hall '-P 4 2'
loop_
_atom_site_label
_atom_site_type_symbol
_atom_site_fract_x
_atom_site_fract_y
_atom_site_fract_z
Zr1 Zr 0.0000 0.0000 0.0000
Al1 Al 0.5000 0.5000 0.5000
Te1 Te 0.0000 0.0000 0.5000
I1 I 0.0000 0.5000 0.0000
```

## Properties
Density of states at the Fermi level = 0.483 states/eV per atom
E_tot = -149.98 eV per cell
Energy relative to the elements, uncorrected = -0.159 eV per atom